Version w
# CaV2Ir2 GGA-PBE optimized geometry
data_CaV2Ir2
_cell_length_a 5.931
_cell_length_b 5.931
_cell_length_c 5.931
_cell_angle_alpha 138.09
_cell_angle_beta 138.09
_cell_angle_gamma 60.77
_symmetry_space_group_name_H-M 'P 1'
_symmetry_Int_Tables_number 1
loop_
_symmetry_equiv_pos_as_xyz
'x,y,z'
loop_
_atom_site_label
_atom_site_type_symbol
_atom_site_fract_x
_atom_site_fract_y
_atom_site_fract_z
Ca1 Ca 0.000 0.000 0.000
V1 V 0.250 0.750 0.500
V2 V 0.750 0.250 0.500
Ir1 Ir 0.372 0.372 0.000
Ir2 Ir 0.628 0.628 0.000
# Symmetry: I4/mmm (139)


Version x
# CaV2Ir2 GGA-PBE optimized geometry
data_CaV2Ir2
_cell_length_a 7.666
_cell_length_b 7.666
_cell_length_c 2.767
_cell_angle_alpha 90.00
_cell_angle_beta 90.00
_cell_angle_gamma 90.00
_symmetry_space_group_name_H-M 'P 1'
_symmetry_Int_Tables_number 1
loop_
_symmetry_equiv_pos_as_xyz
'x,y,z'
loop_
_atom_site_label
_atom_site_type_symbol
_atom_site_fract_x
_atom_site_fract_y
_atom_site_fract_z
Ca1 Ca 0.000 0.000 0.000
Ca2 Ca 0.500 0.500 0.000
V1 V 0.143 0.357 0.000
V2 V 0.357 0.857 0.000
V3 V 0.643 0.143 0.000
V4 V 0.857 0.643 0.000
Ir1 Ir 0.147 0.647 0.500
Ir2 Ir 0.353 0.147 0.500
Ir3 Ir 0.647 0.853 0.500
Ir4 Ir 0.853 0.353 0.500
# Symmetry: P4/mbm (127)


Computed relative energies in units of kJ/mol of atoms: version w 0.0; version x 12.9


Version w
# Ca2VIr GGA-PBE optimized geometry
data_Ca2VIr
_cell_length_a 7.759
_cell_length_b 7.759
_cell_length_c 7.759
_cell_angle_alpha 95.35
_cell_angle_beta 95.35
_cell_angle_gamma 144.43
_symmetry_space_group_name_H-M 'P 1'
_symmetry_Int_Tables_number 1
loop_
_symmetry_equiv_pos_as_xyz
'x,y,z'
loop_
_atom_site_label
_atom_site_type_symbol
_atom_site_fract_x
_atom_site_fract_y
_atom_site_fract_z
Ca1 Ca 0.375 0.215 0.340
Ca2 Ca 0.785 0.125 0.160
Ca3 Ca 0.875 0.035 0.660
Ca4 Ca 0.965 0.625 0.840
V1 V 0.250 0.750 0.500
V2 V 0.500 0.500 0.000
Ir1 Ir 0.000 0.000 0.000
Ir2 Ir 0.750 0.250 0.500
# Symmetry: I-42d (122)


Version x
# Ca2VIr GGA-PBE optimized geometry
data_Ca2VIr
_cell_length_a 4.988
_cell_length_b 4.988
_cell_length_c 4.988
_cell_angle_alpha 60.00
_cell_angle_beta 60.00
_cell_angle_gamma 60.00
_symmetry_space_group_name_H-M 'P 1'
_symmetry_Int_Tables_number 1
loop_
_symmetry_equiv_pos_as_xyz
'x,y,z'
loop_
_atom_site_label
_atom_site_type_symbol
_atom_site_fract_x
_atom_site_fract_y
_atom_site_fract_z
Ca1 Ca 0.250 0.250 0.250
Ca2 Ca 0.750 0.750 0.750
V1 V 0.000 0.000 0.000
Ir1 Ir 0.500 0.500 0.500
# Symmetry: Fm-3m (225)


Computed relative energies in units of kJ/mol of atoms: version w 0.0; version x 0.9


Version w
# CaIrW3 GGA-PBE optimized geometry
data_CaIrW3
_cell_length_a 4.851
_cell_length_b 4.851
_cell_length_c 4.851
_cell_angle_alpha 90.00
_cell_angle_beta 90.00
_cell_angle_gamma 90.00
_symmetry_space_group_name_H-M 'P 1'
_symmetry_Int_Tables_number 1
loop_
_symmetry_equiv_pos_as_xyz
'x,y,z'
loop_
_atom_site_label
_atom_site_type_symbol
_atom_site_fract_x
_atom_site_fract_y
_atom_site_fract_z
Ca1 Ca 0.000 0.000 0.000
Ir1 Ir 0.500 0.500 0.500
W1 W 0.000 0.500 0.500
W2 W 0.500 0.000 0.500
W3 W 0.500 0.500 0.000
# Symmetry: Pm-3m (221)


Version x
# CaIrW3 GGA-PBE optimized geometry
data_CaIrW3
_cell_length_a 4.494
_cell_length_b 4.494
_cell_length_c 4.494
_cell_angle_alpha 90.00
_cell_angle_beta 90.00
_cell_angle_gamma 90.00
_symmetry_space_group_name_H-M 'P 1'
_symmetry_Int_Tables_number 1
loop_
_symmetry_equiv_pos_as_xyz
'x,y,z'
loop_
_atom_site_label
_atom_site_type_symbol
_atom_site_fract_x
_atom_site_fract_y
_atom_site_fract_z
Ca1 Ca 0.000 0.000 0.000
Ir1 Ir 0.500 0.500 0.500
W1 W 0.000 0.000 0.500
W2 W 0.000 0.500 0.000
W3 W 0.500 0.000 0.000
# Symmetry: Pm-3m (221)


Computed relative energies in units of kJ/mol of atoms: version w 0.0; version x 158.2


Version w
# CaY2Ir2 GGA-PBE optimized geometry
data_CaY2Ir2
_cell_length_a 6.775
_cell_length_b 6.775
_cell_length_c 6.775
_cell_angle_alpha 140.08
_cell_angle_beta 140.08
_cell_angle_gamma 57.73
_symmetry_space_group_name_H-M 'P 1'
_symmetry_Int_Tables_number 1
loop_
_symmetry_equiv_pos_as_xyz
'x,y,z'
loop_
_atom_site_label
_atom_site_type_symbol
_atom_site_fract_x
_atom_site_fract_y
_atom_site_fract_z
Ca1 Ca 0.000 0.000 0.000
Y1 Y 0.250 0.750 0.500
Y2 Y 0.750 0.250 0.500
Ir1 Ir 0.393 0.393 0.000
Ir2 Ir 0.607 0.607 0.000
# Symmetry: I4/mmm (139)


Version x
# CaY2Ir2 GGA-PBE optimized geometry
data_CaY2Ir2
_cell_length_a 7.916
_cell_length_b 7.916
_cell_length_c 3.695
_cell_angle_alpha 90.00
_cell_angle_beta 90.00
_cell_angle_gamma 90.00
_symmetry_space_group_name_H-M 'P 1'
_symmetry_Int_Tables_number 1
loop_
_symmetry_equiv_pos_as_xyz
'x,y,z'
loop_
_atom_site_label
_atom_site_type_symbol
_atom_site_fract_x
_atom_site_fract_y
_atom_site_fract_z
Ca1 Ca 0.000 0.000 0.000
Ca2 Ca 0.500 0.500 0.000
Y1 Y 0.152 0.348 0.500
Y2 Y 0.348 0.848 0.500
Y3 Y 0.652 0.152 0.500
Y4 Y 0.848 0.652 0.500
Ir1 Ir 0.142 0.642 0.000
Ir2 Ir 0.358 0.142 0.000
Ir3 Ir 0.642 0.858 0.000
Ir4 Ir 0.858 0.358 0.000
# Symmetry: P4/mbm (127)


Version y
# CaY2Ir2 GGA-PBE optimized geometry
data_CaY2Ir2
_cell_length_a 8.303
_cell_length_b 8.303
_cell_length_c 8.303
_cell_angle_alpha 150.58
_cell_angle_beta 150.58
_cell_angle_gamma 42.09
_symmetry_space_group_name_H-M 'P 1'
_symmetry_Int_Tables_number 1
loop_
_symmetry_equiv_pos_as_xyz
'x,y,z'
loop_
_atom_site_label
_atom_site_type_symbol
_atom_site_fract_x
_atom_site_fract_y
_atom_site_fract_z
Ca1 Ca 0.000 0.000 0.000
Y1 Y 0.363 0.363 0.000
Y2 Y 0.637 0.637 0.000
Ir1 Ir 0.250 0.750 0.500
Ir2 Ir 0.750 0.250 0.500
# Symmetry: I4/mmm (139)


Computed relative energies in units of kJ/mol of atoms: version w 6.5; version x 0.0; version y 47.5